# meta-GGA SCAN SbSI2N, PBEsol geometry
data_SbSI2N
_space_group_name_H-M_alt 'P 4/m m m'
_space_group_IT_number 123
_space_group_name_Hall '-P 4 2'
_cell_length_a 5.9462
_cell_length_b 5.9462
_cell_length_c 3.9030
_cell_angle_alpha 90.00
_cell_angle_beta 90.00
_cell_angle_gamma 90.00
loop_
_atom_site_label
_atom_site_fract_x
_atom_site_fract_y
_atom_site_fract_z
_atom_site_occupancy
Sb1 0.0000 0.0000 0.0000 1
S1 0.5000 0.5000 0.5000 1
I1 0.0000 0.5000 0.0000 1
N1 0.0000 0.0000 0.5000 1
# DFT total energy = -24.873 eV per atom
# mass density = 5074 kg/m3
# DOS at the Fermi energy = 0.47 states/eV/atom

# meta-GGA SCAN SeSIN2, PBEsol geometry
data_SeSIN2
_space_group_name_H-M_alt 'P 4/m m m'
_space_group_IT_number 123
_space_group_name_Hall '-P 4 2'
_cell_length_a 3.7244
_cell_length_b 3.7244
_cell_length_c 6.9207
_cell_angle_alpha 90.00
_cell_angle_beta 90.00
_cell_angle_gamma 90.00
loop_
_atom_site_label
_atom_site_fract_x
_atom_site_fract_y
_atom_site_fract_z
_atom_site_occupancy
Se1 0.0000 0.0000 0.0000 1
S1 0.5000 0.5000 0.5000 1
I1 0.5000 0.5000 0.0000 1
N1 0.0000 0.5000 0.5000 1
# DFT total energy = -15.260 eV per atom
# mass density = 4600 kg/m3
# DOS at the Fermi energy = 0.57 states/eV/atom